[1]
# PBE Sm2SbRh, optimized geometry
# Formation energy from raw total energies (kJ/mol of formula units): -353.9
# DFT total energy (eV per atom): -6.145
data_Sm2SbRh
_symmetry_space_group_name_H-M 'P 1 21/m 1'
_symmetry_Int_Tables_number 11
_cell_length_a 6.2093
_cell_length_b 4.3175
_cell_length_c 8.3786
_cell_angle_alpha 90.00
_cell_angle_beta 111.50
_cell_angle_gamma 90.00
loop_
_symmetry_equiv_pos_as_xyz
'x,y,z'
'-x,-y,-z'
'-x,y+1/2,-z'
'x,-y+1/2,z'
loop_
_atom_site_label
_atom_site_fract_x
_atom_site_fract_y
_atom_site_fract_z
Sm1 0.1725 0.2500 0.4010
Sm2 0.2582 0.7500 0.0498
Sb1 0.3817 0.7500 0.7063
Rh1 0.1286 0.2500 0.7916

=====

[2]
# PBE LaPr12Ho5, optimized geometry
# DFT total energy (eV per atom): -4.710
# Formation energy from the elements (eV per formula unit): 0.4
data_LaPr12Ho5
_symmetry_space_group_name_H-M 'C m m m'
_symmetry_Int_Tables_number 65
_symmetry_space_group_name_Hall '-C 2 2'
_cell_length_a 15.5299
_cell_length_b 15.5784
_cell_length_c 5.1949
_cell_angle_alpha 90.00
_cell_angle_beta 90.00
_cell_angle_gamma 90.00
loop_
_atom_site_label
_atom_site_fract_x
_atom_site_fract_y
_atom_site_fract_z
La1 0.0000 0.0000 0.0000
Pr1 0.1638 0.3338 0.5000
Pr2 0.1636 0.5000 0.0000
Pr3 0.1656 0.1678 0.0000
Pr4 0.1671 0.0000 0.5000
Ho1 0.0000 0.1685 0.5000
Ho2 0.0000 0.3332 0.0000
Ho3 0.0000 0.5000 0.5000

=====

[3]
# PBE Ce2YHo, optimized geometry
# Energy above the lowest structure with this stoichiometry (eV/atom): 0.200
# DFT total energy (eV per atom): -5.435
# Formation energy from the elements (eV per formula unit): 1.2
data_Ce2YHo
_symmetry_space_group_name_H-M 'I m m a'
_symmetry_Int_Tables_number 74
_symmetry_space_group_name_Hall '-I 2b 2'
_cell_length_a 5.2630
_cell_length_b 8.9937
_cell_length_c 10.1920
_cell_angle_alpha 90.00
_cell_angle_beta 90.00
_cell_angle_gamma 90.00
loop_
_atom_site_label
_atom_site_fract_x
_atom_site_fract_y
_atom_site_fract_z
Ce1 0.0000 0.0997 0.2025
Y1 0.0000 0.0000 0.5000
Ho1 0.0000 0.2500 0.8698

=====

[4]
# PBE Ba2MnBr, optimized geometry
# Energy above the lowest structure with this stoichiometry (eV/atom): 0.242
# Formation energy from raw total energies (kJ/mol of formula units): -65.3
# DFT total energy (eV per atom): -3.841
data_Ba2MnBr
_symmetry_space_group_name_H-M 'F m -3 m'
_symmetry_Int_Tables_number 225
_symmetry_space_group_name_Hall '-F 4 2 3'
_cell_length_a 8.4367
_cell_length_b 8.4367
_cell_length_c 8.4367
_cell_angle_alpha 90.00
_cell_angle_beta 90.00
_cell_angle_gamma 90.00
loop_
_atom_site_label
_atom_site_fract_x
_atom_site_fract_y
_atom_site_fract_z
Ba1 0.2500 0.2500 0.2500
Mn1 0.0000 0.0000 0.0000
Br1 0.0000 0.0000 0.5000

=====

[5]
# PBE SmHf2Ta, optimized geometry
# DFT total energy (eV per atom): -8.936
# Formation energy from the elements (eV per formula unit): 0.7
data_SmHf2Ta
_symmetry_space_group_name_H-M 'P 4/m m m'
_symmetry_Int_Tables_number 123
_symmetry_space_group_name_Hall '-P 4 2'
_cell_length_a 3.5119
_cell_length_b 3.5119
_cell_length_c 7.7062
_cell_angle_alpha 90.00
_cell_angle_beta 90.00
_cell_angle_gamma 90.00
loop_
_atom_site_label
_atom_site_fract_x
_atom_site_fract_y
_atom_site_fract_z
Sm1 0.0000 0.0000 0.0000
Hf1 0.5000 0.5000 0.2984
Ta1 0.0000 0.0000 0.5000

=====

[6]
# PBE TcNi2Pt, optimized geometry
# Energy above the lowest structure with this stoichiometry (eV/atom): 0.235
# DFT total energy (eV per atom): -6.838
# Formation energy from the elements (eV per formula unit): 0.6
data_TcNi2Pt
_symmetry_space_group_name_H-M 'F -4 3 m'
_symmetry_Int_Tables_number 216
_symmetry_space_group_name_Hall 'F -4 2 3'
_cell_length_a 5.9733
_cell_length_b 5.9733
_cell_length_c 5.9733
_cell_angle_alpha 90.00
_cell_angle_beta 90.00
_cell_angle_gamma 90.00
loop_
_atom_site_label
_atom_site_fract_x
_atom_site_fract_y
_atom_site_fract_z
Tc1 0.0000 0.0000 0.0000
Ni1 0.0000 0.0000 0.5000
Ni2 0.2500 0.2500 0.7500
Pt1 0.2500 0.2500 0.2500